(1)
## CaAlSi2 (GGA-PBE)

Data for a geometry-optimized CaAlSi2 structure.

Structure (POSCAR):
```
CaAlSi2
1.0
4.1497 -1.8420 0.0000
4.1497 1.8420 0.0000
-1.5856 0.0000 5.3516
Ca Al Si
1 1 2
Direct
0.0000 0.0000 0.0000 Ca
0.5000 0.5000 0.5000 Al
0.2358 0.2358 0.6509 Si
0.7642 0.7642 0.3491 Si
```

Calculated volume   81.8 Å³/f.u.
Uncorrected energy   -4.35 eV per atom
Formation energy without anion corrections   -4.57 kcal/mol of atoms
Size of the total moment   0.00 μB per formula unit
Calculated density   2.5 Mg/m³

(2)
## CaAlSi2 (GGA-PBE)

Data for a geometry-optimized CaAlSi2 structure.

Structure (POSCAR):
```
CaAlSi2
1.0
0.0000 3.3966 3.3966
3.3966 0.0000 3.3966
3.3966 3.3966 0.0000
Ca Al Si
1 1 2
Direct
0.0000 0.0000 0.0000 Ca
0.2500 0.2500 0.2500 Al
0.5000 0.5000 0.5000 Si
0.7500 0.7500 0.7500 Si
```

Calculated volume   78.4 Å³/f.u.
Uncorrected energy   -3.90 eV per atom
Formation energy without anion corrections   5.69 kcal/mol of atoms
Size of the total moment   0.00 μB per formula unit
Calculated density   2.6 Mg/m³

(3)
## Ca2AlSi2 (GGA-PBE)

Data for a geometry-optimized Ca2AlSi2 structure.

Structure (POSCAR):
```
Ca2AlSi2
1.0
-3.2794 6.2331 3.0250
3.2794 -6.2331 3.0250
3.2794 6.2331 -3.0250
Ca Al Si
4 2 4
Direct
0.1431 0.1866 0.3297 Ca
0.3569 0.6866 0.0436 Ca
0.6431 0.3134 0.9564 Ca
0.8569 0.8134 0.6703 Ca
0.2500 0.7500 0.5000 Al
0.7500 0.2500 0.5000 Al
0.1123 0.7208 0.8332 Si
0.3877 0.2208 0.6085 Si
0.6123 0.7792 0.3915 Si
0.8877 0.2792 0.1668 Si
```

Calculated volume   123.7 Å³/f.u.
Uncorrected energy   -4.02 eV per atom
Formation energy without anion corrections   -7.03 kcal/mol of atoms
Size of the total moment   0.00 μB per formula unit
Calculated density   2.2 Mg/m³

(4)
## CaAlSi2 (GGA-PBE)

Data for a geometry-optimized CaAlSi2 structure.

Structure (POSCAR):
```
CaAlSi2
1.0
4.0675 -1.8617 0.0000
4.0675 1.8617 0.0000
-1.6852 0.0000 5.4887
Ca Al Si
1 1 2
Direct
0.0000 0.0000 0.0000 Ca
0.7797 0.7797 0.3597 Al
0.2321 0.2321 0.6634 Si
0.5139 0.5139 0.5243 Si
```

Calculated volume   83.1 Å³/f.u.
Uncorrected energy   -4.23 eV per atom
Formation energy without anion corrections   -1.90 kcal/mol of atoms
Size of the total moment   0.00 μB per formula unit
Calculated density   2.5 Mg/m³

no.,Fermi-level density of states (states/eV/cell)
1,1.29
2,2.42
3,8.03
4,1.10